1.
Ba2ZrFe: optimized geometry, PBE.

The structure in extended XYZ format:
```
4
Lattice="5.519 0.000 0.000 0.000 4.735 0.000 0.000 0.000 4.735" Properties=species:S:1:pos:R:3 pbc="T T T"
Fe 2.759 2.367 0.000
Ba 0.000 2.367 2.367
Ba 0.000 0.000 0.000
Zr 2.759 0.000 2.367
```


2.
SrCoTc: optimized geometry, PBE.

The structure in extended XYZ format:
```
6
Lattice="10.061 -0.012 -0.032 0.855 3.996 0.000 0.145 2.063 3.794" Properties=species:S:1:pos:R:3 pbc="T T T"
Co 7.807 3.817 3.654
Co 6.902 4.006 0.506
Sr 3.031 0.650 0.165
Sr 9.728 3.399 1.351
Tc 6.395 2.025 1.911
Tc 5.735 4.255 2.754
```


| no. | total energy (eV per atom) |
| --- | --- |
| 1 | -4.246 |
| 2 | -6.020 |